# Y4IrOs | Alexandria via LeMat-Bulk | GGA-PBE | relaxed
# energy: -6.7191 eV per atom
# density of states at the Fermi level: 35.4 states/eV per cell
# V: 22.9 Å³/atom
# spin magnetization: 0.000 μB per formula unit
data_Y4IrOs
_cell_length_a 8.192
_cell_length_b 8.192
_cell_length_c 8.192
_cell_angle_alpha 90.00
_cell_angle_beta 90.00
_cell_angle_gamma 90.00
_symmetry_space_group_name_H-M 'F -4 3 m'
_symmetry_Int_Tables_number 216
_symmetry_space_group_name_Hall 'F -4 2 3'
loop_
_atom_site_label
_atom_site_fract_x
_atom_site_fract_y
_atom_site_fract_z
Y1 0.125 0.125 0.125
Ir1 0.250 0.250 0.750
Os1 0.000 0.000 0.500

# Tb4Pr2Y2Tm | Alexandria via LeMat-Bulk | GGA-PBE | relaxed
# energy: -5.0532 eV per atom
# density of states at the Fermi level: 24.4 states/eV per cell
# V: 32.8 Å³/atom
# spin magnetization: 0.000 μB per formula unit
data_Tb4Pr2Y2Tm
_cell_length_a 18.786
_cell_length_b 3.625
_cell_length_c 9.624
_cell_angle_alpha 90.00
_cell_angle_beta 115.67
_cell_angle_gamma 90.00
_symmetry_space_group_name_H-M 'C 1 2/m 1'
_symmetry_Int_Tables_number 12
loop_
_symmetry_equiv_pos_as_xyz
'x,y,z'
'-x,-y,-z'
'-x,y,-z'
'x,-y,z'
'x+1/2,y+1/2,z'
'-x+1/2,-y+1/2,-z'
'-x+1/2,y+1/2,-z'
'x+1/2,-y+1/2,z'
loop_
_atom_site_label
_atom_site_fract_x
_atom_site_fract_y
_atom_site_fract_z
Tb1 0.019 0.000 0.333
Tb2 0.185 0.500 0.336
Pr1 0.165 0.000 0.000
Y1 0.146 0.500 0.662
Tm1 0.000 0.500 0.000

# Cs4Na2I | Alexandria via LeMat-Bulk | GGA-PBE | relaxed
# energy: -1.4476 eV per atom
# formation energy from raw total energies: -0.362 eV/atom
# density of states at the Fermi level: 9.0 states/eV per cell
# V: 85.8 Å³/atom
# spin magnetization: 0.000 μB per formula unit
data_Cs4Na2I
_cell_length_a 7.519
_cell_length_b 7.519
_cell_length_c 21.244
_cell_angle_alpha 90.00
_cell_angle_beta 90.00
_cell_angle_gamma 90.00
_symmetry_space_group_name_H-M 'I 4/m m m'
_symmetry_Int_Tables_number 139
_symmetry_space_group_name_Hall '-I 4 2'
loop_
_atom_site_label
_atom_site_fract_x
_atom_site_fract_y
_atom_site_fract_z
Cs1 0.000 0.000 0.185
Cs2 0.000 0.500 0.000
Na1 0.000 0.000 0.388
I1 0.000 0.000 0.000

# SnH4Br | Alexandria via LeMat-Bulk | GGA-PBE | relaxed
# energy: -2.9829 eV per atom
# density of states at the Fermi level: 0.3 states/eV per cell
# V: 23.0 Å³/atom
# spin magnetization: 0.000 μB per formula unit
data_SnH4Br
_cell_length_a 4.534
_cell_length_b 6.428
_cell_length_c 9.916
_cell_angle_alpha 73.88
_cell_angle_beta 83.29
_cell_angle_gamma 89.56
_symmetry_space_group_name_H-M 'P -1'
_symmetry_Int_Tables_number 2
loop_
_symmetry_equiv_pos_as_xyz
'x,y,z'
'-x,-y,-z'
loop_
_atom_site_label
_atom_site_fract_x
_atom_site_fract_y
_atom_site_fract_z
Sn1 0.038 0.250 0.000
H1 0.031 0.053 0.875
H2 0.031 0.554 0.875
H3 0.430 0.249 0.000
H4 0.489 0.252 0.496
Br1 0.318 0.795 0.395

# LaThHgC | Alexandria via LeMat-Bulk | GGA-PBE | relaxed
# energy: -5.7680 eV per atom
# density of states at the Fermi level: 13.6 states/eV per cell
# V: 25.2 Å³/atom
# spin magnetization: 0.000 μB per formula unit
data_LaThHgC
_cell_length_a 3.7564
_cell_length_b 3.7564
_cell_length_c 24.7037
_cell_angle_alpha 90.00
_cell_angle_beta 90.00
_cell_angle_gamma 120.00
_symmetry_space_group_name_H-M 'R 3 m'
_symmetry_Int_Tables_number 160
_symmetry_space_group_name_Hall 'R 3 -2"'
loop_
_atom_site_label
_atom_site_fract_x
_atom_site_fract_y
_atom_site_fract_z
La1 0.0000 0.0000 0.0000
Th1 0.0000 0.0000 0.7848
Hg1 0.0000 0.0000 0.2256
C1 0.0000 0.0000 0.3994

# RbTe3N | Alexandria via LeMat-Bulk | GGA-PBE | relaxed
# energy: -1.9872 eV per atom
# formation energy from raw total energies: 1.756 eV/atom
# density of states at the Fermi level: 6.1 states/eV per cell
# V: 66.5 Å³/atom
# spin magnetization: 8.000 μB per formula unit
data_RbTe3N
_cell_length_a 6.926
_cell_length_b 6.926
_cell_length_c 6.926
_cell_angle_alpha 90.00
_cell_angle_beta 90.00
_cell_angle_gamma 90.00
_symmetry_space_group_name_H-M 'P m -3 m'
_symmetry_Int_Tables_number 221
_symmetry_space_group_name_Hall '-P 4 2 3'
loop_
_atom_site_label
_atom_site_fract_x
_atom_site_fract_y
_atom_site_fract_z
Rb1 0.000 0.000 0.000
Te1 0.000 0.000 0.500
N1 0.500 0.500 0.500

# SrP2IrO | Alexandria via LeMat-Bulk | GGA-PBE | relaxed
# energy: -3.7352 eV per atom
# formation energy from raw total energies: 1.529 eV/atom
# density of states at the Fermi level: 7.0 states/eV per cell
# V: 23.0 Å³/atom
# spin magnetization: 1.185 μB per formula unit
data_SrP2IrO
_cell_length_a 5.390
_cell_length_b 5.390
_cell_length_c 3.950
_cell_angle_alpha 90.00
_cell_angle_beta 90.00
_cell_angle_gamma 90.00
_symmetry_space_group_name_H-M 'P 4/m m m'
_symmetry_Int_Tables_number 123
_symmetry_space_group_name_Hall '-P 4 2'
loop_
_atom_site_label
_atom_site_fract_x
_atom_site_fract_y
_atom_site_fract_z
Sr1 0.000 0.000 0.000
P1 0.000 0.500 0.000
Ir1 0.500 0.500 0.500
O1 0.000 0.000 0.500

# Sr3NdF8 | Alexandria via LeMat-Bulk | GGA-PBE | relaxed
# energy: -5.8396 eV per atom
# formation energy from raw total energies: -3.774 eV/atom
# density of states at the Fermi level: 3.9 states/eV per cell
# V: 16.7 Å³/atom
# spin magnetization: 0.871 μB per formula unit
data_Sr3NdF8
_cell_length_a 5.853
_cell_length_b 5.853
_cell_length_c 5.853
_cell_angle_alpha 90.00
_cell_angle_beta 90.00
_cell_angle_gamma 90.00
_symmetry_space_group_name_H-M 'P m -3 m'
_symmetry_Int_Tables_number 221
_symmetry_space_group_name_Hall '-P 4 2 3'
loop_
_atom_site_label
_atom_site_fract_x
_atom_site_fract_y
_atom_site_fract_z
Sr1 0.000 0.000 0.500
Nd1 0.500 0.500 0.500
F1 0.252 0.252 0.252

# Tb3Nd8Y | Alexandria via LeMat-Bulk | GGA-PBE | relaxed
# energy: -4.2910 eV per atom
# density of states at the Fermi level: 38.5 states/eV per cell
# V: 37.7 Å³/atom
# spin magnetization: 0.001 μB per formula unit
data_Tb3Nd8Y
_cell_length_a 8.812
_cell_length_b 8.812
_cell_length_c 11.642
_cell_angle_alpha 90.00
_cell_angle_beta 90.00
_cell_angle_gamma 90.00
_symmetry_space_group_name_H-M 'I -4 2 m'
_symmetry_Int_Tables_number 121
_symmetry_space_group_name_Hall 'I -4 2'
loop_
_atom_site_label
_atom_site_fract_x
_atom_site_fract_y
_atom_site_fract_z
Tb1 0.000 0.000 0.000
Tb2 0.000 0.500 0.250
Nd1 0.125 0.125 0.249
Nd2 0.249 0.249 0.999
Y1 0.000 0.000 0.500

# CaYSi2 | Alexandria via LeMat-Bulk | GGA-PBE | relaxed
# energy: -5.1057 eV per atom
# formation energy from raw total energies: -0.278 eV/atom
# density of states at the Fermi level: 7.1 states/eV per cell
# V: 22.7 Å³/atom
# spin magnetization: 0.000 μB per formula unit
data_CaYSi2
_cell_length_a 4.179
_cell_length_b 4.179
_cell_length_c 10.392
_cell_angle_alpha 90.00
_cell_angle_beta 90.00
_cell_angle_gamma 90.00
_symmetry_space_group_name_H-M 'I -4 m 2'
_symmetry_Int_Tables_number 119
_symmetry_space_group_name_Hall 'I -4 -2'
loop_
_atom_site_label
_atom_site_fract_x
_atom_site_fract_y
_atom_site_fract_z
Ca1 0.000 0.000 0.000
Y1 0.000 0.500 0.250
Si1 0.000 0.000 0.500
Si2 0.000 0.500 0.750

# Ba2PuW2N6 | Alexandria via LeMat-Bulk | GGA-PBE | relaxed
# energy: -9.3177 eV per atom
# formation energy from raw total energies: -0.769 eV/atom
# density of states at the Fermi level: 26.5 states/eV per cell
# V: 18.8 Å³/atom
# spin magnetization: 4.000 μB per formula unit
data_Ba2PuW2N6
_cell_length_a 6.2260
_cell_length_b 6.2260
_cell_length_c 18.5092
_cell_angle_alpha 90.00
_cell_angle_beta 90.00
_cell_angle_gamma 120.00
_symmetry_space_group_name_H-M 'R -3 m'
_symmetry_Int_Tables_number 166
_symmetry_space_group_name_Hall '-R 3 2"'
loop_
_atom_site_label
_atom_site_fract_x
_atom_site_fract_y
_atom_site_fract_z
Ba1 0.0000 0.0000 0.2170
Pu1 0.0000 0.0000 0.0000
W1 0.0000 0.0000 0.4278
N1 0.0053 0.5026 0.7442

# PrMgIrRh | Alexandria via LeMat-Bulk | GGA-PBE | relaxed
# energy: -6.0599 eV per atom
# density of states at the Fermi level: 7.3 states/eV per cell
# V: 19.2 Å³/atom
# spin magnetization: 0.000 μB per formula unit
data_PrMgIrRh
_cell_length_a 6.750
_cell_length_b 6.750
_cell_length_c 6.750
_cell_angle_alpha 90.00
_cell_angle_beta 90.00
_cell_angle_gamma 90.00
_symmetry_space_group_name_H-M 'F -4 3 m'
_symmetry_Int_Tables_number 216
_symmetry_space_group_name_Hall 'F -4 2 3'
loop_
_atom_site_label
_atom_site_fract_x
_atom_site_fract_y
_atom_site_fract_z
Pr1 0.000 0.000 0.000
Mg1 0.000 0.000 0.500
Ir1 0.250 0.250 0.750
Rh1 0.250 0.250 0.250

Q: What is the spin magnetization in the seventh record?
A: 1.185 μB per formula unit

Q: The lowest density of states at the Fermi level belongs to which entry?
A: SnH4Br